[1]
MgMnCr2 at its PBEsol-relaxed geometry. Source: the Alexandria database, functional meta-GGA SCAN.

abc: 4.232 4.232 3.012
angles: 90.00 90.00 90.00
Space group P4/mmm (No. 123)
Symmetry-distinct sites (fractional):
Mg1 0.000 0.000 0.000
Mn1 0.500 0.500 0.000
Cr1 0.000 0.500 0.500

Summary:
Density of states at the Fermi level = 0.493 states/eV per atom
Final energy = -14.8922 eV/atom
Crystal system = tetragonal
ΔH_f (0 K) = 0.107 eV/atom

[2]
Er2Al3Ga at its PBEsol-relaxed geometry. Source: the Alexandria database, functional meta-GGA SCAN.

abc: 5.4438 5.4438 13.3532
angles: 90.00 90.00 120.00
Space group R-3m (No. 166, hexagonal axes)
Symmetry-distinct sites (fractional):
Er1 0.0000 0.0000 0.1241
Al1 0.0000 0.5000 0.0000
Ga1 0.0000 0.0000 0.5000

Summary:
Density of states at the Fermi level = 0.654 states/eV per atom
Final energy = -23.9678 eV/atom
Crystal system = trigonal
ΔH_f (0 K) = -0.587 eV/atom